# 1
Material: Dy4Te5F2
Method: DFT, PBE
State: relaxed

Structure (extended XYZ):
```
11
Lattice="10.3795 -2.1375 0.0000 10.3795 2.1375 0.0000 -2.0356 0.0000 8.6886" Properties=species:S:1:pos:R:3 pbc="T T T"
Dy 0.2412 0.0000 2.2849
Dy 5.9453 0.0000 4.1223
Dy 12.7781 0.0000 4.5663
Dy 18.4821 0.0000 6.4037
Te 0.6815 0.0000 5.8056
Te 3.3703 0.0000 2.5163
Te 10.3795 0.0000 0.0000
Te 15.3531 0.0000 6.1723
Te 18.0418 0.0000 2.8830
F 7.7351 0.0000 5.5881
F 10.9883 0.0000 3.1005
```

**Energy relative to the elements, uncorrected**: -1.966 eV per atom
**Calculated density**: 5.7 Mg/m³
**V**: 35.0 Å³ per atom
**Spin magnetization**: 0.000 μB/atom

# 2
Material: DyTeF
Method: DFT, PBE
State: relaxed

Structure (extended XYZ):
```
3
Lattice="4.1197 0.0000 0.0000 -2.0598 3.5677 0.0000 0.0000 0.0000 4.3420" Properties=species:S:1:pos:R:3 pbc="T T T"
Dy 0.0000 0.0000 0.0000
Te 2.0598 1.1892 2.1710
F 0.0000 2.3785 0.0000
```

**Energy relative to the elements, uncorrected**: -2.560 eV per atom
**Distance to the lowest polymorph of the same formula**: 3 kJ/mol of formula units
**Calculated density**: 8.0 Mg/m³
**V**: 21.3 Å³ per atom
**Spin magnetization**: 0.000 μB/atom

# 3
Material: DyTeF
Method: DFT, PBE
State: relaxed

Structure (extended XYZ):
```
3
Lattice="-1.7705 1.7705 5.1742 1.7705 -1.7705 5.1742 1.7705 1.7705 -5.1742" Properties=species:S:1:pos:R:3 pbc="T T T"
Dy 0.0000 0.0000 0.0000
Te 0.0000 0.0000 3.2125
F 0.0000 0.0000 6.0294
```

**Energy relative to the elements, uncorrected**: -1.976 eV per atom
**Distance to the lowest polymorph of the same formula**: 172 kJ/mol of formula units
**Calculated density**: 7.9 Mg/m³
**V**: 21.6 Å³ per atom
**Spin magnetization**: 0.000 μB/atom
**DOS at the Fermi energy**: 0.94 states/eV/f.u.

# 4
Material: DyTeF2
Method: DFT, PBE
State: relaxed

Structure (extended XYZ):
```
8
Lattice="1.9503 -5.9328 0.0000 1.9503 5.9328 0.0000 0.0000 0.0000 6.6985" Properties=species:S:1:pos:R:3 pbc="T T T"
Dy 1.9503 3.0370 5.0239
Dy 1.9503 -3.0370 1.6746
Te 1.9503 5.6704 1.6746
Te 1.9503 -5.6704 5.0239
F 1.9503 2.3760 0.4704
F 1.9503 2.3760 2.8788
F 1.9503 -2.3760 3.8197
F 1.9503 -2.3760 6.2280
```

**Energy relative to the elements, uncorrected**: -2.941 eV per atom
**Calculated density**: 7.0 Mg/m³
**V**: 19.4 Å³ per atom
**Spin magnetization**: 0.000 μB/atom
**DOS at the Fermi energy**: 0.84 states/eV/f.u.

# 5
Material: DyTeF
Method: DFT, PBE
State: relaxed

Structure (extended XYZ):
```
6
Lattice="5.6076 -1.9752 0.0000 5.6076 1.9752 0.0000 -3.6810 0.0000 6.3594" Properties=species:S:1:pos:R:3 pbc="T T T"
Dy 1.0586 0.0000 1.5236
Dy 6.4756 0.0000 4.8359
Te 4.1601 0.0000 1.0091
Te 3.3741 0.0000 5.3503
F 0.3320 0.0000 3.7342
F 7.2022 0.0000 2.6252
```

**Energy relative to the elements, uncorrected**: -2.569 eV per atom
**Distance to the lowest polymorph of the same formula**: 0 kJ/mol of formula units
**Calculated density**: 7.3 Mg/m³
**V**: 23.5 Å³ per atom
**Spin magnetization**: 0.000 μB/atom

# 6
Material: DyTeF
Method: DFT, PBE
State: relaxed

Structure (extended XYZ):
```
6
Lattice="4.2831 -2.0555 0.0000 4.2831 2.0555 0.0000 -1.7493 0.0000 10.0766" Properties=species:S:1:pos:R:3 pbc="T T T"
Dy 1.2761 0.0000 3.3947
Dy 5.5408 0.0000 6.6819
Te -0.4189 0.0000 8.1249
Te 7.2359 0.0000 1.9517
F 1.8735 0.0000 5.5748
F 4.9434 0.0000 4.5018
```

**Energy relative to the elements, uncorrected**: -2.453 eV per atom
**Distance to the lowest polymorph of the same formula**: 34 kJ/mol of formula units
**Calculated density**: 5.8 Mg/m³
**V**: 29.6 Å³ per atom
**Spin magnetization**: 0.000 μB/atom
**DOS at the Fermi energy**: 0.00 states/eV/f.u.

# 7
Material: Dy2Te3F
Method: DFT, PBE
State: relaxed

Structure (extended XYZ):
```
24
Lattice="11.6520 0.0000 0.0000 0.0000 4.1366 0.0000 0.0000 0.0000 13.1152" Properties=species:S:1:pos:R:3 pbc="T T T"
Dy 0.7112 1.0341 2.3078
Dy 2.2883 1.0341 6.8893
Dy 3.5377 3.1024 0.3317
Dy 5.1148 3.1024 8.8654
Dy 6.5372 1.0341 4.2498
Dy 8.1143 1.0341 12.7835
Dy 9.3637 3.1024 6.2259
Dy 10.9408 3.1024 10.8075
Te 0.8497 3.1024 5.0012
Te 1.4016 1.0341 12.2983
Te 1.9462 3.1024 9.1356
Te 3.8798 1.0341 2.5780
Te 4.4244 3.1024 5.7407
Te 4.9763 1.0341 11.5588
Te 6.6757 3.1024 1.5564
Te 7.2276 1.0341 7.3745
Te 7.7722 3.1024 10.5373
Te 9.7058 1.0341 3.9797
Te 10.2504 3.1024 0.8169
Te 10.8023 1.0341 8.1140
F 1.5674 3.1024 1.7457
F 4.2586 1.0341 8.3033
F 7.3934 3.1024 4.8119
F 10.0846 1.0341 11.3695
```

**Energy relative to the elements, uncorrected**: -1.766 eV per atom
**Calculated density**: 7.6 Mg/m³
**V**: 26.3 Å³ per atom
**Spin magnetization**: 0.000 μB/atom
**DOS at the Fermi energy**: 2.40 states/eV/f.u.

# 8
Material: DyTiF
Method: DFT, PBE
State: relaxed

Structure (extended XYZ):
```
6
Lattice="2.9595 -1.6803 0.0000 2.9595 1.6803 0.0000 -1.9943 0.0000 11.9074" Properties=species:S:1:pos:R:3 pbc="T T T"
Dy 0.9785 0.0000 2.4618
Dy 2.9462 0.0000 9.4456
Ti 1.0131 0.0000 6.9635
Ti 2.9115 0.0000 4.9440
F -1.0164 0.0000 10.7401
F 4.9410 0.0000 1.1674
```

**Energy relative to the elements, uncorrected**: -1.482 eV per atom
**Calculated density**: 6.4 Mg/m³
**V**: 19.7 Å³ per atom
**Spin magnetization**: 0.271 μB/atom
**DOS at the Fermi energy**: 2.42 states/eV/f.u.